# 1
Computed, not measured: a relaxed structure of ErRuC2 at the GGA-PBE level of DFT.

It has space group Cmcm (No. 63), with a = 4.355 Å, b = 9.043 Å, c = 5.232 Å, α = 90.00°, β = 90.00° and γ = 90.00°. The asymmetric unit holds Er at (0.000, 0.184, 0.250), Ru at (0.000, 0.500, 0.000) and C at (0.158, 0.086, 0.750).

The calculation puts the mass density at 9.423 g/cm3. For the density of states at the Fermi level, the calculation gives 0.69 states/eV/atom. For the excess energy over the best structure of this formula in the dataset, the calculation gives 0 meV per atom. The formation energy from the elements is -0.210 eV/atom. The total energy comes out at -8.282 eV/atom.

***

# 2
Computed, not measured: a relaxed structure of TiCrPd2 at the GGA-PBE level of DFT.

It has space group P4/mmm (No. 123), with a = 3.285 Å, b = 3.285 Å, c = 5.789 Å, α = 90.00°, β = 90.00° and γ = 90.00°. The asymmetric unit holds Ti at (0.000, 0.000, 0.000), Cr at (0.000, 0.000, 0.500) and Pd at (0.500, 0.500, 0.242).

The calculation puts the mass density at 8.312 g/cm3. For the density of states at the Fermi level, the calculation gives 0.93 states/eV/atom. For the excess energy over the best structure of this formula in the dataset, the calculation gives 94 meV per atom. The formation energy from the elements is -0.220 eV/atom. The total energy comes out at -7.196 eV/atom.

***

# 3
Computed, not measured: a relaxed structure of Co2TcB2 at the GGA-PBE level of DFT.

It has space group P4/mbm (No. 127), with a = 6.066 Å, b = 6.066 Å, c = 2.498 Å, α = 90.00°, β = 90.00° and γ = 90.00°. The asymmetric unit holds Co at (0.148, 0.352, 0.000), Tc at (0.000, 0.000, 0.500) and B at (0.145, 0.645, 0.500).

The calculation puts the mass density at 8.580 g/cm3. For the density of states at the Fermi level, the calculation gives 0.99 states/eV/atom. The formation energy from the elements is -0.118 eV/atom. The total energy comes out at -7.705 eV/atom.

***

Question: Look up the formation energy from the elements of the third one.
Answer: -0.118 eV/atom

***

Copy entry 1 word for word.
Computed, not measured: a relaxed structure of ErRuC2 at the GGA-PBE level of DFT.

It has space group Cmcm (No. 63), with a = 4.355 Å, b = 9.043 Å, c = 5.232 Å, α = 90.00°, β = 90.00° and γ = 90.00°. The asymmetric unit holds Er at (0.000, 0.184, 0.250), Ru at (0.000, 0.500, 0.000) and C at (0.158, 0.086, 0.750).

The calculation puts the mass density at 9.423 g/cm3. For the density of states at the Fermi level, the calculation gives 0.69 states/eV/atom. For the excess energy over the best structure of this formula in the dataset, the calculation gives 0 meV per atom. The formation energy from the elements is -0.210 eV/atom. The total energy comes out at -8.282 eV/atom.